(1)
Here is a relaxed structure of Ba12Bi3Se5 from Alexandria. Energies are from PBE-GGA.

Computed properties:
magnetization: 0.00 μB per cell
mass density: 4.55 g/cm³
total DFT energy (no corrections): -3.800 eV per atom

a = 19.822 Å, b = 19.822 Å, c = 19.822 Å
α = 90.00°, β = 90.00°, γ = 90.00°
Space group Ia-3d (No. 230)
Inequivalent atoms, fractional coordinates:
Ba: 0.022 0.064 0.652
Bi: 0.000 0.250 0.125
Se: 0.000 0.000 0.000
Se: 0.000 0.250 0.375

***

(2)
Here is a relaxed structure of Cs2VCdBr6 from Alexandria. Energies are from PBE-GGA.

Computed properties:
magnetization: 12.00 μB per cell
mass density: 4.55 g/cm³
total DFT energy (no corrections): -3.363 eV per atom

a = 10.984 Å, b = 10.984 Å, c = 10.984 Å
α = 90.00°, β = 90.00°, γ = 90.00°
Space group Fm-3m (No. 225)
Inequivalent atoms, fractional coordinates:
Cs: 0.250 0.250 0.250
V: 0.000 0.000 0.000
Cd: 0.000 0.000 0.500
Br: 0.000 0.000 0.243

***

(3)
Here is a relaxed structure of Ce3PaIn12 from Alexandria. Energies are from PBE-GGA.

Computed properties:
formation enthalpy at 0 K: -340 meV per atom
magnetization: 1.82 μB per cell
mass density: 8.13 g/cm³
total DFT energy (no corrections): -4.100 eV per atom

a = 4.693 Å, b = 4.693 Å, c = 18.829 Å
α = 90.00°, β = 90.00°, γ = 90.00°
Space group P4/mmm (No. 123)
Inequivalent atoms, fractional coordinates:
Ce: 0.000 0.000 0.000
Ce: 0.000 0.000 0.252
Pa: 0.000 0.000 0.500
In: 0.000 0.500 0.126
In: 0.000 0.500 0.377
In: 0.500 0.500 0.000
In: 0.500 0.500 0.251
In: 0.500 0.500 0.500

***

(4)
Here is a relaxed structure of CaDy2Hg from Alexandria. Energies are from PBE-GGA.

Computed properties:
formation enthalpy at 0 K: -146 meV per atom
magnetization: 0.01 μB per cell
mass density: 7.41 g/cm³
energy above the lowest structure with this stoichiometry: 0.0 meV/atom
total DFT energy (no corrections): -3.023 eV per atom

a = 3.735 Å, b = 3.735 Å, c = 9.085 Å
α = 90.00°, β = 90.00°, γ = 90.00°
Space group P4/mmm (No. 123)
Inequivalent atoms, fractional coordinates:
Ca: 0.000 0.000 0.000
Dy: 0.500 0.500 0.304
Hg: 0.000 0.000 0.500

***

(5)
Here is a relaxed structure of TaAl2As from Alexandria. Energies are from PBE-GGA.

Computed properties:
formation enthalpy at 0 K: -49 meV per atom
magnetization: 0.00 μB per cell
mass density: 7.78 g/cm³
total DFT energy (no corrections): -6.046 eV per atom

a = 3.831 Å, b = 3.831 Å, c = 9.009 Å
α = 90.00°, β = 90.00°, γ = 90.00°
Space group I4/mmm (No. 139)
Inequivalent atoms, fractional coordinates:
Ta: 0.000 0.000 0.000
Al: 0.000 0.500 0.250
As: 0.000 0.000 0.500

***

(6)
Here is a relaxed structure of NaCd2GaS4 from Alexandria. Energies are from PBE-GGA.

Computed properties:
magnetization: 0.00 μB per cell
mass density: 3.72 g/cm³
total DFT energy (no corrections): -3.627 eV per atom

a = 6.105 Å, b = 6.105 Å, c = 10.670 Å
α = 90.00°, β = 90.00°, γ = 90.00°
Space group I-42m (No. 121)
Inequivalent atoms, fractional coordinates:
Na: 0.000 0.000 0.000
Cd: 0.000 0.500 0.250
Ga: 0.000 0.000 0.500
S: 0.221 0.221 0.621